Entry 1:
Computed, not measured: a geometry-optimized TmLuCuPd structure at the PBE-GGA level of DFT.

Space-group type: F-43m
VASP energy: -5.19 eV/atom

```
TmLuCuPd
1.0
0.0000 3.4317 3.4317
3.4317 0.0000 3.4317
3.4317 3.4317 0.0000
Tm Lu Cu Pd
1 1 1 1
Cartesian
0.0000 0.0000 0.0000
3.4317 3.4317 3.4317
5.1475 5.1475 5.1475
1.7158 1.7158 1.7158
```

Entry 2:
Computed, not measured: a geometry-optimized Dy3InNi2 structure at the PBE-GGA level of DFT.

Space-group type: Pmc2_1
VASP energy: -5.09 eV/atom

```
Dy3InNi2
1.0
4.2752 0.0000 0.0000
0.0000 9.1150 0.0000
0.0000 0.0000 7.0220
Dy In Ni
6 2 4
Cartesian
0.0000 0.5289 0.0000
0.0000 8.5861 3.5110
2.1376 2.2786 2.7090
2.1376 3.0691 6.0315
2.1376 6.0459 2.5205
2.1376 6.8364 6.2200
0.0000 4.3937 0.8833
0.0000 4.7213 4.3943
0.0000 1.9640 4.5699
0.0000 7.1511 1.0588
2.1376 0.4476 5.0367
2.1376 8.6675 1.5257
```

Entry 3:
Computed, not measured: a geometry-optimized HoLuAgSn structure at the PBE-GGA level of DFT.

Space-group type: F-43m
VASP energy: -4.46 eV/atom

```
HoLuAgSn
1.0
0.0000 3.6563 3.6563
3.6563 0.0000 3.6563
3.6563 3.6563 0.0000
Ho Lu Ag Sn
1 1 1 1
Cartesian
0.0000 0.0000 0.0000
3.6563 3.6563 3.6563
5.4844 5.4844 5.4844
1.8281 1.8281 1.8281
```

Entry 4:
Computed, not measured: a geometry-optimized Pm7Nd4Sc structure at the PBE-GGA level of DFT.

Space-group type: P-1
Energy relative to the lowest polymorph listed for this composition: 0.0 meV per atom
VASP energy: -4.86 eV/atom

```
Pm7Nd4Sc
1.0
6.3186 0.0000 0.0000
0.0043 7.3068 0.0000
1.0499 1.8374 8.8279
Pm Nd Sc
7 4 1
Cartesian
0.0000 0.0000 0.0000
1.0477 5.4450 2.8929
3.1911 1.8547 5.9023
3.1600 1.8452 0.0087
4.2128 7.2990 8.8192
4.1816 7.2894 2.9256
6.3251 3.6992 5.9350
1.0366 1.8407 2.9024
3.1315 5.4966 5.9255
4.2412 3.6476 2.9025
6.3362 7.3035 5.9255
0.0022 3.6534 0.0000
```

Entry 5:
Computed, not measured: a geometry-optimized SmMgIn3 structure at the PBE-GGA level of DFT.

Space-group type: Cmcm
VASP energy: -3.04 eV/atom

```
SmMgIn3
1.0
3.5296 -6.1082 0.0000
3.5296 6.1082 0.0000
0.0000 0.0000 6.2394
Sm Mg In
2 2 6
Cartesian
3.5296 4.0692 4.6795
3.5296 -4.0692 1.5598
3.5296 0.0000 0.0000
3.5296 0.0000 3.1197
1.4516 1.1962 4.6795
1.4516 -1.1962 1.5598
3.5296 2.3975 1.5598
3.5296 -2.3975 4.6795
5.6076 1.1962 4.6795
5.6076 -1.1962 1.5598
```

Entry 6:
Computed, not measured: a geometry-optimized MgInPb2 structure at the PBE-GGA level of DFT.

Space-group type: P2/m
VASP energy: -2.94 eV/atom

```
MgInPb2
1.0
3.5528 0.0000 0.0000
0.0000 4.3070 0.0000
-0.2020 0.0000 7.2882
Mg In Pb
1 1 2
Cartesian
0.0000 0.0000 0.0000
-0.1010 0.0000 3.6441
1.7203 2.1535 1.7291
1.6304 2.1535 5.5591
```

Entry 7:
Computed, not measured: a geometry-optimized MgCo3Ru structure at the PBE-GGA level of DFT.

Space-group type: Pm-3m
Energy relative to the lowest polymorph listed for this composition: 454.3 meV per atom
VASP energy: -4.84 eV/atom

```
MgCo3Ru
1.0
4.2176 0.0000 0.0000
0.0000 4.2176 0.0000
0.0000 0.0000 4.2176
Mg Co Ru
1 3 1
Cartesian
0.0000 0.0000 0.0000
0.0000 0.0000 2.1088
0.0000 2.1088 0.0000
2.1088 0.0000 0.0000
2.1088 2.1088 2.1088
```

Entry 8:
Computed, not measured: a geometry-optimized CoPtW structure at the PBE-GGA level of DFT.

Space-group type: P3m1
Energy relative to the lowest polymorph listed for this composition: 141.8 meV per atom
VASP energy: -8.72 eV/atom

```
CoPtW
1.0
4.2345 0.0000 0.0000
-2.1172 3.6672 0.0000
0.0000 0.0000 2.7355
Co Pt W
1 1 1
Cartesian
0.0000 0.0000 0.0000
2.1172 1.2224 1.3545
0.0000 2.4448 2.7125
```